The following is a PBE calculation of BeNi2Br after structural relaxation, from the Alexandria database.

The calculation puts the energy above the most stable polymorph in this dataset at 0 meV/atom.

The structure belongs to space group Cm (No. 8); the cell edges are 6.223, 3.365 and 5.449 Å and the angles 90.00°, 98.77° and 90.00°. The asymmetric unit holds Be at (0.000, 0.000, 0.000), Ni at (0.154, 0.500, 0.843), Ni at (0.345, 0.000, 0.148) and Br at (0.431, 0.500, 0.512).

***

The following is a PBE calculation of ReTeW2 after structural relaxation, from the Alexandria database.

For the final energy, the calculation gives -9.739 eV per atom.

The structure belongs to space group Cm (No. 8); the cell edges are 9.535, 3.141 and 4.788 Å and the angles 90.00°, 106.37° and 90.00°. The asymmetric unit holds Re at (0.000, 0.000, 0.000), Te at (0.251, 0.500, 0.340), W at (0.000, 0.500, 0.513) and W at (0.272, 0.000, 0.870).

***

The following is a PBE calculation of CaCoSiCl2 after structural relaxation, from the Alexandria database.

For the final energy, the calculation gives -4.051 eV per atom.

The structure belongs to space group P4/mmm (No. 123); the cell edges are 4.811, 4.811 and 4.454 Å and the angles 90.00°, 90.00° and 90.00°. The asymmetric unit holds Ca at (0.000, 0.000, 0.000), Co at (0.500, 0.500, 0.500), Si at (0.500, 0.500, 0.000) and Cl at (0.000, 0.500, 0.500).

***

The following is a PBE calculation of KTiBe2Cl8 after structural relaxation, from the Alexandria database.

For the final energy, the calculation gives -4.121 eV per atom.

The structure belongs to space group R-3 (No. 148, hexagonal axes); the cell edges are 6.0069, 6.0069 and 29.0452 Å and the angles 90.00°, 90.00° and 120.00°. The asymmetric unit holds K at (0.0000, 0.0000, 0.0000), Ti at (0.0000, 0.0000, 0.5000), Be at (0.0000, 0.0000, 0.2399), Cl at (0.0000, 0.0000, 0.3073) and Cl at (0.0022, 0.3489, 0.8830).

***

The following is a PBE calculation of La2Sm8Dy after structural relaxation, from the Alexandria database.

The calculation puts the energy above the most stable polymorph in this dataset at 127 meV/atom. Its formation energy is 1.6 eV per formula unit.

The structure belongs to space group C2/m (No. 12); the cell edges are 16.778, 6.816 and 6.836 Å and the angles 90.00°, 100.68° and 90.00°. The asymmetric unit holds La at (0.198, 0.000, 0.303), Sm at (0.088, 0.263, 0.905), Sm at (0.088, 0.500, 0.410), Sm at (0.244, 0.000, 0.810) and Dy at (0.000, 0.000, 0.500).

***

The following is a PBE calculation of Li2MoW after structural relaxation, from the Alexandria database.

The calculation puts the energy above the most stable polymorph in this dataset at 249 meV/atom. Its formation energy is 1.9 eV per formula unit.

The structure belongs to space group Cm (No. 8); the cell edges are 8.978, 2.553 and 5.467 Å and the angles 90.00°, 92.27° and 90.00°. The asymmetric unit holds Li at (0.000, 0.000, 0.000), Li at (0.248, 0.500, 0.236), Mo at (0.252, 0.000, 0.725) and W at (0.494, 0.000, 0.508).

***

The following is a PBE calculation of Sm4Ho2Th after structural relaxation, from the Alexandria database.

The calculation puts the energy above the most stable polymorph in this dataset at 270 meV/atom. Its formation energy is 2.1 eV per formula unit.

The structure belongs to space group Imma (No. 74); the cell edges are 6.738, 11.545 and 12.135 Å and the angles 90.00°, 90.00° and 90.00°. The asymmetric unit holds Sm at (0.000, 0.004, 0.152), Sm at (0.224, 0.250, 0.988), Ho at (0.000, 0.000, 0.500), Ho at (0.000, 0.250, 0.722) and Th at (0.250, 0.250, 0.250).

***

The following is a PBE calculation of Mg6TiNbO8 after structural relaxation, from the Alexandria database.

For the final energy, the calculation gives -6.500 eV per atom.

The structure belongs to space group P4/mmm (No. 123); the cell edges are 4.339, 4.339 and 8.699 Å and the angles 90.00°, 90.00° and 90.00°. The asymmetric unit holds Mg at (0.000, 0.000, 0.000), Mg at (0.000, 0.000, 0.500), Mg at (0.000, 0.500, 0.248), Ti at (0.500, 0.500, 0.000), Nb at (0.500, 0.500, 0.500), O at (0.000, 0.000, 0.250), O at (0.000, 0.500, 0.000), O at (0.000, 0.500, 0.500) and O at (0.500, 0.500, 0.240).

***

The following is a PBE calculation of KTiSi3 after structural relaxation, from the Alexandria database.

The calculation puts the energy above the most stable polymorph in this dataset at 0 meV/atom.

The structure belongs to space group Pm-3m (No. 221); the cell edges are 4.881, 4.881 and 4.881 Å and the angles 90.00°, 90.00° and 90.00°. The asymmetric unit holds K at (0.000, 0.000, 0.000), Ti at (0.500, 0.500, 0.500) and Si at (0.000, 0.500, 0.500).

***

The following is a PBE calculation of BeVMo2N after structural relaxation, from the Alexandria database.

For the final energy, the calculation gives -8.709 eV per atom.

The structure belongs to space group P4/mmm (No. 123); the cell edges are 4.086, 4.086 and 3.816 Å and the angles 90.00°, 90.00° and 90.00°. The asymmetric unit holds Be at (0.000, 0.000, 0.000), V at (0.500, 0.500, 0.000), Mo at (0.000, 0.500, 0.500) and N at (0.500, 0.500, 0.500).

***

The following is a PBE calculation of Ac2HgPt after structural relaxation, from the Alexandria database.

The calculation puts the energy above the most stable polymorph in this dataset at 7 meV/atom. Its formation energy is -3.3 eV per formula unit.

The structure belongs to space group R3m (No. 160, hexagonal axes); the cell edges are 4.4496, 4.4496 and 24.0986 Å and the angles 90.00°, 90.00° and 120.00°. The asymmetric unit holds Ac at (0.0000, 0.0000, 0.0000), Ac at (0.0000, 0.0000, 0.1954), Hg at (0.0000, 0.0000, 0.7652) and Pt at (0.0000, 0.0000, 0.5984).

***

The following is a PBE calculation of PrTaN2 after structural relaxation, from the Alexandria database.

For the final energy, the calculation gives -9.590 eV per atom.

The structure belongs to space group Pnma (No. 62); the cell edges are 5.857, 3.406 and 11.104 Å and the angles 90.00°, 90.00° and 90.00°. The asymmetric unit holds Pr at (0.084, 0.250, 0.136), Ta at (0.080, 0.750, 0.388), N at (0.165, 0.250, 0.753) and N at (0.217, 0.250, 0.485).